## A
Compound: PmPu2Pt
Source: the Alexandria database
Functional: PBE-GGA
Structure: relaxed

```
data_PmPu2Pt
_cell_length_a 3.6106
_cell_length_b 3.6106
_cell_length_c 31.0285
_cell_angle_alpha 90.00
_cell_angle_beta 90.00
_cell_angle_gamma 120.00
_symmetry_space_group_name_H-M 'R -3 m'
_symmetry_Int_Tables_number 166
_symmetry_space_group_name_Hall '-R 3 2"'
loop_
_atom_site_label
_atom_site_fract_x
_atom_site_fract_y
_atom_site_fract_z
Pm1 0.0000 0.0000 0.0000
Pu1 0.0000 0.0000 0.1041
Pt1 0.0000 0.0000 0.5000
```

=====

## B
Compound: PmPu2Pt
Source: the Alexandria database
Functional: PBE-GGA
Structure: relaxed

```
data_PmPu2Pt
_cell_length_a 3.6883
_cell_length_b 3.6883
_cell_length_c 7.6509
_cell_angle_alpha 90.00
_cell_angle_beta 90.00
_cell_angle_gamma 90.00
_symmetry_space_group_name_H-M 'P 4/m m m'
_symmetry_Int_Tables_number 123
_symmetry_space_group_name_Hall '-P 4 2'
loop_
_atom_site_label
_atom_site_fract_x
_atom_site_fract_y
_atom_site_fract_z
Pm1 0.0000 0.0000 0.0000
Pu1 0.5000 0.5000 0.3011
Pt1 0.0000 0.0000 0.5000
```

=====

Which is most stable? The ranking, best first, is B, A.

=====

## A
Compound: PmPuPt
Source: the Alexandria database
Functional: PBE-GGA
Structure: relaxed

```
data_PmPuPt
_cell_length_a 4.7397
_cell_length_b 4.7397
_cell_length_c 3.8921
_cell_angle_alpha 90.00
_cell_angle_beta 90.00
_cell_angle_gamma 120.00
_symmetry_space_group_name_H-M 'P 3 m 1'
_symmetry_Int_Tables_number 156
loop_
_symmetry_equiv_pos_as_xyz
'x,y,z'
'-y,x-y,z'
'-x+y,-x,z'
'-y,-x,z'
'-x+y,y,z'
'x,x-y,z'
loop_
_atom_site_label
_atom_site_fract_x
_atom_site_fract_y
_atom_site_fract_z
Pm1 0.0000 0.0000 0.0000
Pu1 0.3333 0.6667 0.5676
Pt1 0.6667 0.3333 0.3312
```

=====

## B
Compound: PmPuPt
Source: the Alexandria database
Functional: PBE-GGA
Structure: relaxed

```
data_PmPuPt
_cell_length_a 7.4074
_cell_length_b 7.4074
_cell_length_c 4.8175
_cell_angle_alpha 90.00
_cell_angle_beta 90.00
_cell_angle_gamma 120.00
_symmetry_space_group_name_H-M 'P -6 2 m'
_symmetry_Int_Tables_number 189
_symmetry_space_group_name_Hall 'P -6 -2'
loop_
_atom_site_label
_atom_site_fract_x
_atom_site_fract_y
_atom_site_fract_z
Pm1 0.0000 0.5832 0.0000
Pu1 0.0000 0.2491 0.5000
Pt1 0.0000 0.0000 0.0000
Pt2 0.3333 0.6667 0.5000
```

=====

Which is most stable? The ranking, best first, is B, A.

=====

## A
Compound: Pm8Pt2Rh3
Source: the Alexandria database
Functional: PBE-GGA
Structure: relaxed

```
data_Pm8Pt2Rh3
_cell_length_a 8.6037
_cell_length_b 4.9701
_cell_length_c 8.6210
_cell_angle_alpha 90.00
_cell_angle_beta 109.23
_cell_angle_gamma 90.00
_symmetry_space_group_name_H-M 'P 1 2/m 1'
_symmetry_Int_Tables_number 10
loop_
_symmetry_equiv_pos_as_xyz
'x,y,z'
'-x,-y,-z'
'-x,y,-z'
'x,-y,z'
loop_
_atom_site_label
_atom_site_fract_x
_atom_site_fract_y
_atom_site_fract_z
Pm1 0.1229 0.0000 0.3761
Pm2 0.1254 0.5000 0.8713
Pm3 0.3709 0.5000 0.6243
Pm4 0.3771 0.0000 0.1236
Pt1 0.2520 0.5000 0.2473
Rh1 0.0000 0.5000 0.5000
Rh2 0.2512 0.0000 0.7508
```

=====

## B
Compound: Pm8Pt2Rh3
Source: the Alexandria database
Functional: PBE-GGA
Structure: relaxed

```
data_Pm8Pt2Rh3
_cell_length_a 14.9873
_cell_length_b 7.9488
_cell_length_c 6.8868
_cell_angle_alpha 90.00
_cell_angle_beta 108.22
_cell_angle_gamma 90.00
_symmetry_space_group_name_H-M 'C 1 2/m 1'
_symmetry_Int_Tables_number 12
loop_
_symmetry_equiv_pos_as_xyz
'x,y,z'
'-x,-y,-z'
'-x,y,-z'
'x,-y,z'
'x+1/2,y+1/2,z'
'-x+1/2,-y+1/2,-z'
'-x+1/2,y+1/2,-z'
'x+1/2,-y+1/2,z'
loop_
_atom_site_label
_atom_site_fract_x
_atom_site_fract_y
_atom_site_fract_z
Pm1 0.1124 0.0000 0.4214
Pm2 0.1136 0.5000 0.4006
Pm3 0.1188 0.2433 0.9090
Pt1 0.2452 0.5000 0.1640
Rh1 0.0000 0.0000 0.0000
Rh2 0.0000 0.2610 0.5000
```

=====

Which is most stable? The ranking, best first, is A, B.

=====

## A
Compound: PmPtRh
Source: the Alexandria database
Functional: PBE-GGA
Structure: relaxed

```
data_PmPtRh
_cell_length_a 4.3761
_cell_length_b 4.3761
_cell_length_c 7.7444
_cell_angle_alpha 90.00
_cell_angle_beta 90.00
_cell_angle_gamma 120.00
_symmetry_space_group_name_H-M 'P 63/m m c'
_symmetry_Int_Tables_number 194
_symmetry_space_group_name_Hall '-P 6c 2c'
loop_
_atom_site_label
_atom_site_fract_x
_atom_site_fract_y
_atom_site_fract_z
Pm1 0.0000 0.0000 0.0000
Pt1 0.3333 0.6667 0.2500
Rh1 0.3333 0.6667 0.7500
```

=====

## B
Compound: PmPtRh
Source: the Alexandria database
Functional: PBE-GGA
Structure: relaxed

```
data_PmPtRh
_cell_length_a 5.4334
_cell_length_b 5.4565
_cell_length_c 7.7170
_cell_angle_alpha 90.00
_cell_angle_beta 90.00
_cell_angle_gamma 90.00
_symmetry_space_group_name_H-M 'I m m a'
_symmetry_Int_Tables_number 74
_symmetry_space_group_name_Hall '-I 2b 2'
loop_
_atom_site_label
_atom_site_fract_x
_atom_site_fract_y
_atom_site_fract_z
Pm1 0.0000 0.2500 0.1257
Pt1 0.2500 0.2500 0.7500
Rh1 0.0000 0.0000 0.5000
```

=====

Which is most stable? The ranking, best first, is B, A.